Record 1
Below is an optimized crystal structure of DyPuAsSe, with properties calculated at the PBE level.

Values from the calculation:
ΔE_f (raw) (meV/atom): -1520

a = 7.132 Å, b = 7.132 Å, c = 7.132 Å
α = 33.71°, β = 33.71°, γ = 33.71°
Positions (direct):
Dy 0.000 0.000 0.000
Pu 0.496 0.496 0.496
As 0.747 0.747 0.747
Se 0.248 0.248 0.248

=====

Record 2
Below is an optimized crystal structure of SmDyPu2As4, with properties calculated at the PBE level.

Values from the calculation:
ΔE_f (kJ/mol of formula units): -983

a = 7.162 Å, b = 4.158 Å, c = 7.198 Å
α = 90.00°, β = 109.57°, γ = 90.00°
Positions (direct):
Sm 0.000 0.000 0.000
Dy 0.000 0.500 0.500
Pu 0.500 0.000 0.500
Pu 0.500 0.500 0.000
As 0.255 0.000 0.749
As 0.257 0.500 0.255
As 0.743 0.500 0.745
As 0.745 0.000 0.251

=====

Record 3
Below is an optimized crystal structure of Sm2Dy3PuAs6, with properties calculated at the PBE level.

Values from the calculation:
ΔE_f (kJ/mol of formula units): -1665

a = 9.277 Å, b = 9.277 Å, c = 8.304 Å
α = 102.88°, β = 102.88°, γ = 25.90°
Positions (direct):
Sm 0.167 0.167 0.334
Sm 0.833 0.833 0.666
Dy 0.168 0.168 0.833
Dy 0.500 0.500 0.500
Dy 0.832 0.832 0.167
Pu 0.500 0.500 0.000
As 0.002 0.002 0.753
As 0.334 0.334 0.921
As 0.335 0.335 0.413
As 0.665 0.665 0.587
As 0.666 0.666 0.079
As 0.998 0.998 0.247

=====

Record 4
Below is an optimized crystal structure of TbDyPu2As4, with properties calculated at the PBE level.

Values from the calculation:
ΔE_f (kJ/mol of formula units): -964

a = 7.137 Å, b = 4.139 Å, c = 7.159 Å
α = 90.00°, β = 109.58°, γ = 90.00°
Positions (direct):
Tb 0.000 0.000 0.000
Dy 0.000 0.500 0.500
Pu 0.500 0.000 0.500
Pu 0.500 0.500 0.000
As 0.251 0.000 0.751
As 0.252 0.500 0.252
As 0.748 0.500 0.748
As 0.749 0.000 0.249

=====

Record 5
Below is an optimized crystal structure of Dy2PuThAs4, with properties calculated at the PBE level.

Values from the calculation:
ΔE_f (kJ/mol of formula units): -1071

a = 7.204 Å, b = 4.173 Å, c = 7.212 Å
α = 90.00°, β = 109.59°, γ = 90.00°
Positions (direct):
Dy 0.000 0.000 0.000
Dy 0.000 0.500 0.500
Pu 0.500 0.000 0.500
Th 0.500 0.500 0.000
As 0.244 0.000 0.746
As 0.247 0.500 0.252
As 0.753 0.500 0.748
As 0.756 0.000 0.254

=====

Record 6
Below is an optimized crystal structure of DyPuTh2As4, with properties calculated at the PBE level.

Values from the calculation:
ΔE_f (kJ/mol of formula units): -1049

a = 8.399 Å, b = 8.399 Å, c = 8.399 Å
α = 120.04°, β = 119.96°, γ = 90.00°
Positions (direct):
Dy 0.500 0.000 0.000
Dy 0.500 0.500 0.500
Pu 0.000 0.000 0.000
Pu 0.500 0.000 0.500
Th 0.000 0.000 0.500
Th 0.000 0.500 0.000
Th 0.000 0.500 0.500
Th 0.500 0.500 0.000
As 0.253 0.248 0.005
As 0.253 0.248 0.496
As 0.253 0.757 0.004
As 0.257 0.752 0.505
As 0.743 0.248 0.495
As 0.747 0.243 0.996
As 0.747 0.752 0.504
As 0.747 0.752 0.995

=====

Record 7
Below is an optimized crystal structure of DyTmPu2As4, with properties calculated at the PBE level.

Values from the calculation:
ΔE_f (kJ/mol of formula units): -979

a = 7.090 Å, b = 4.122 Å, c = 7.136 Å
α = 90.00°, β = 109.61°, γ = 90.00°
Positions (direct):
Dy 0.000 0.000 0.000
Tm 0.000 0.500 0.500
Pu 0.500 0.000 0.500
Pu 0.500 0.500 0.000
As 0.250 0.000 0.748
As 0.251 0.500 0.252
As 0.749 0.500 0.748
As 0.750 0.000 0.252

=====

Record 8
Below is an optimized crystal structure of Dy2TmPuAs4, with properties calculated at the PBE level.

Values from the calculation:
ΔE_f (kJ/mol of formula units): -1072

a = 7.104 Å, b = 4.116 Å, c = 7.108 Å
α = 90.00°, β = 109.45°, γ = 90.00°
Positions (direct):
Dy 0.000 0.000 0.000
Dy 0.500 0.500 0.000
Tm 0.000 0.500 0.500
Pu 0.500 0.000 0.500
As 0.248 0.000 0.747
As 0.250 0.500 0.252
As 0.750 0.500 0.748
As 0.752 0.000 0.253